Entry 1:
A relaxed TaTlMo2 crystal. Source: Alexandria via LeMat-Bulk, functional PBE.

Calculated values
size of the total moment: 0.0 μB per formula unit
DOS at the Fermi energy: 0.749 states/eV/atom
E_form: 209.3 kJ/mol of formula units
final energy: -0.3097 hartree per atom

Lattice parameters (Å, degrees): 4.0575 4.0575 8.6984 90.00 90.00 90.00
Space group I4/mmm (No. 139)
Symmetry-distinct sites (fractional):
Ta 0.0000 0.0000 0.0000
Tl 0.0000 0.0000 0.5000
Mo 0.0000 0.5000 0.2500

***

Entry 2:
A relaxed LaVPdAu2 crystal. Source: Alexandria via LeMat-Bulk, functional PBE.

Calculated values
size of the total moment: 0.0 μB per formula unit
DOS at the Fermi energy: 0.931 states/eV/atom
E_form: 261.8 kJ/mol of formula units
final energy: -0.1696 hartree per atom

Lattice parameters (Å, degrees): 4.8498 4.8498 5.2013 90.00 90.00 90.00
Space group P4/mmm (No. 123)
Symmetry-distinct sites (fractional):
La 0.0000 0.0000 0.0000
V 0.0000 0.0000 0.5000
Pd 0.5000 0.5000 0.0000
Au 0.0000 0.5000 0.5000

***

Entry 3:
A relaxed MgZr6Rh5 crystal. Source: Alexandria via LeMat-Bulk, functional PBE.

Calculated values
size of the total moment: 0.0 μB per formula unit
DOS at the Fermi energy: 0.894 states/eV/atom
E_form: -706.4 kJ/mol of formula units
final energy: -0.2969 hartree per atom

Lattice parameters (Å, degrees): 4.6551 6.6529 14.3323 90.00 90.00 90.00
Space group Immm (No. 71)
Symmetry-distinct sites (fractional):
Mg 0.0000 0.0000 0.0000
Zr 0.0000 0.2366 0.5000
Zr 0.0000 0.2529 0.1716
Rh 0.0000 0.0000 0.3296
Rh 0.0000 0.5000 0.0000
Rh 0.0000 0.5000 0.3553

***

Entry 4:
A relaxed BeNi2W crystal. Source: Alexandria via LeMat-Bulk, functional PBE.

Calculated values
size of the total moment: 0.0 μB per formula unit
DOS at the Fermi energy: 0.918 states/eV/atom
E_form: 31.6 kJ/mol of formula units
final energy: -0.2565 hartree per atom

Lattice parameters (Å, degrees): 5.2451 7.0262 2.5997 90.00 90.00 90.00
Space group Cmmm (No. 65)
Symmetry-distinct sites (fractional):
Be 0.0000 0.0000 0.0000
Ni 0.2500 0.2500 0.5000
W 0.0000 0.5000 0.0000